This record from the Alexandria database describes crystalline MgBi3B at its relaxed geometry. The functional is PBE.

Results
calculated formation energy	3.423	eV/f.u.
density	8.2	Mg/m³
calculated volume	26.96	Å³/atom
polymorph energy (0 for the lowest one)	0	meV per atom

abc: 5.128 5.128 5.128
angles: 90.00 90.00 90.00
Space group Pm-3m (No. 221)
Inequivalent atoms, fractional coordinates:
1 Mg 0.000 0.000 0.000 [1 per cell]
2 Bi 0.000 0.500 0.500 [3 per cell]
3 B 0.500 0.500 0.500 [1 per cell]

***

This record from the Alexandria database describes crystalline Pm9Nd2Er at its relaxed geometry. The functional is PBE.

Results
calculated formation energy	0.195	eV/f.u.
density	7.1	Mg/m³
calculated volume	34.12	Å³/atom
polymorph energy (0 for the lowest one)	0	meV per atom

abc: 5.149 5.149 15.445
angles: 90.00 90.00 90.00
Space group P4/mmm (No. 123)
Inequivalent atoms, fractional coordinates:
1 Pm 0.000 0.000 0.000 [1 per cell]
2 Pm 0.000 0.000 0.332 [2 per cell]
3 Pm 0.000 0.500 0.165 [4 per cell]
4 Pm 0.000 0.500 0.500 [2 per cell]
5 Nd 0.500 0.500 0.332 [2 per cell]
6 Er 0.500 0.500 0.000 [1 per cell]

***

This record from the Alexandria database describes crystalline LaTb5Y2 at its relaxed geometry. The functional is PBE.

Results
calculated formation energy	0.172	eV/f.u.
density	7.1	Mg/m³
calculated volume	32.66	Å³/atom

abc: 7.186 20.254 7.181
angles: 90.00 90.00 90.00
Space group Pbam (No. 55)
Inequivalent atoms, fractional coordinates:
1 La 0.248 0.126 0.000 [4 per cell]
2 Tb 0.000 0.000 0.252 [4 per cell]
3 Tb 0.000 0.250 0.252 [8 per cell]
4 Tb 0.248 0.875 0.500 [4 per cell]
5 Tb 0.249 0.875 0.000 [4 per cell]
6 Y 0.000 0.500 0.252 [4 per cell]
7 Y 0.249 0.125 0.500 [4 per cell]

***

This record from the Alexandria database describes crystalline LiPr2Hg8 at its relaxed geometry. The functional is PBE.

Results
calculated formation energy	-3.513	eV/f.u.
density	11.2	Mg/m³
calculated volume	25.51	Å³/atom
polymorph energy (0 for the lowest one)	3	meV per atom

abc: 4.655 4.655 12.954
angles: 90.00 90.00 90.00
Space group P4/mmm (No. 123)
Inequivalent atoms, fractional coordinates:
1 Li 0.000 0.000 0.000 [1 per cell]
2 Pr 0.000 0.000 0.307 [2 per cell]
3 Hg 0.000 0.500 0.125 [4 per cell]
4 Hg 0.000 0.500 0.500 [2 per cell]
5 Hg 0.500 0.500 0.321 [2 per cell]

***

This record from the Alexandria database describes crystalline Rb2Tl6Sb3 at its relaxed geometry. The functional is PBE.

Results
ΔE_f (raw)	-0.105	eV/atom
density	7.0	Mg/m³
calculated volume	37.83	Å³/atom

abc: 9.9846 9.9846 4.8195
angles: 90.00 90.00 120.00
Space group P-62m (No. 189)
Inequivalent atoms, fractional coordinates:
1 Rb 0.3333 0.6667 0.0000 [2 per cell]
2 Tl 0.0000 0.1904 0.0000 [3 per cell]
3 Tl 0.0000 0.6937 0.5000 [3 per cell]
4 Sb 0.0000 0.3756 0.5000 [3 per cell]

***

This record from the Alexandria database describes crystalline LiLaTe2 at its relaxed geometry. The functional is PBE.

Results
ΔE_f (raw)	-1.224	eV/atom
density	5.7	Mg/m³
calculated volume	29.01	Å³/atom

abc: 4.970 5.956 7.841
angles: 90.00 90.00 90.00
Space group Immm (No. 71)
Inequivalent atoms, fractional coordinates:
1 Li 0.000 0.000 0.000 [2 per cell]
2 La 0.000 0.000 0.500 [2 per cell]
3 Te 0.000 0.500 0.272 [4 per cell]

***

This record from the Alexandria database describes crystalline HfP2Cl at its relaxed geometry. The functional is PBE.

Results
ΔE_f (raw)	0.203	eV/atom
density	6.5	Mg/m³
calculated volume	17.74	Å³/atom
polymorph energy (0 for the lowest one)	457	meV per atom

abc: 6.572 6.572 6.572
angles: 90.00 90.00 90.00
Space group Fm-3m (No. 225)
Inequivalent atoms, fractional coordinates:
1 Hf 0.000 0.000 0.000 [4 per cell]
2 P 0.250 0.250 0.250 [8 per cell]
3 Cl 0.000 0.000 0.500 [4 per cell]

***

This record from the Alexandria database describes crystalline La4Pm2Tm at its relaxed geometry. The functional is PBE.

Results
calculated formation energy	0.768	eV/f.u.
density	6.9	Mg/m³
calculated volume	35.11	Å³/atom
polymorph energy (0 for the lowest one)	45	meV per atom

abc: 6.265 6.798 11.869
angles: 90.00 103.49 90.00
Space group P2_1/m (No. 11)
Inequivalent atoms, fractional coordinates:
1 La 0.037 0.250 0.366 [2 per cell]
2 La 0.154 0.250 0.951 [2 per cell]
3 La 0.356 0.514 0.217 [4 per cell]
4 Pm 0.286 0.750 0.922 [2 per cell]
5 Pm 0.395 0.750 0.506 [2 per cell]
6 Tm 0.145 0.250 0.661 [2 per cell]

***

This record from the Alexandria database describes crystalline NaIn2W at its relaxed geometry. The functional is PBE.

Results
calculated formation energy	4.389	eV/f.u.
density	7.3	Mg/m³
calculated volume	24.87	Å³/atom
polymorph energy (0 for the lowest one)	437	meV per atom

abc: 4.548 4.548 19.236
angles: 90.00 90.00 90.00
Space group I-42d (No. 122)
Inequivalent atoms, fractional coordinates:
1 Na 0.000 0.000 0.000 [4 per cell]
2 In 0.211 0.250 0.625 [8 per cell]
3 W 0.000 0.000 0.500 [4 per cell]

***

This record from the Alexandria database describes crystalline AlAg2Os at its relaxed geometry. The functional is PBE.

Results
calculated formation energy	0.773	eV/f.u.
density	11.1	Mg/m³
calculated volume	16.21	Å³/atom

abc: 2.777 3.916 5.962
angles: 90.00 90.00 90.00
Space group Pmm2 (No. 25)
Inequivalent atoms, fractional coordinates:
1 Al 0.000 0.000 0.000 [1 per cell]
2 Ag 0.000 0.000 0.456 [1 per cell]
3 Ag 0.500 0.500 0.706 [1 per cell]
4 Os 0.500 0.500 0.178 [1 per cell]

***

This record from the Alexandria database describes crystalline SrLi4Pd2 at its relaxed geometry. The functional is PBE.

Results
calculated formation energy	-2.390	eV/f.u.
density	3.9	Mg/m³
calculated volume	19.78	Å³/atom
polymorph energy (0 for the lowest one)	9	meV per atom

abc: 4.307 14.852 4.329
angles: 90.00 90.00 90.00
Space group Cmmm (No. 65)
Inequivalent atoms, fractional coordinates:
1 Sr 0.000 0.000 0.000 [2 per cell]
2 Li 0.000 0.191 0.500 [4 per cell]
3 Li 0.000 0.320 0.000 [4 per cell]
4 Pd 0.000 0.409 0.500 [4 per cell]